No. 1
# Pr3Al28Cu8 GGA-PBEsol optimized geometry
# calculated density	4.463	g/cm³
# energy of formation	-8.57	eV per formula unit
# D(E_F)	30.78	states/eV/cell
data_Pr3Al28Cu8
_symmetry_space_group_name_H-M 'C 1 2/m 1'
_symmetry_Int_Tables_number 12
_cell_length_a 5.104
_cell_length_b 13.183
_cell_length_c 18.782
_cell_angle_alpha 90.00
_cell_angle_beta 96.73
_cell_angle_gamma 90.00
loop_
_symmetry_equiv_pos_as_xyz
'x,y,z'
'-x,-y,-z'
'-x,y,-z'
'x,-y,z'
'x+1/2,y+1/2,z'
'-x+1/2,-y+1/2,-z'
'-x+1/2,y+1/2,-z'
'x+1/2,-y+1/2,z'
loop_
_atom_site_label
_atom_site_fract_x
_atom_site_fract_y
_atom_site_fract_z
Pr1 0.000 0.000 0.000
Pr2 0.179 0.500 0.334
Al1 0.000 0.000 0.500
Al2 0.000 0.500 0.500
Al3 0.028 0.387 0.073
Al4 0.051 0.180 0.114
Al5 0.125 0.321 0.218
Al6 0.147 0.113 0.259
Al7 0.161 0.000 0.834
Al8 0.207 0.117 0.404
Al9 0.226 0.319 0.448
Cu1 0.074 0.251 0.669
Cu2 0.159 0.500 0.834
Cu3 0.250 0.250 0.000

***

No. 2
# CuSiTe GGA-PBEsol optimized geometry
# energy above the most stable polymorph in this dataset	0.000	eV/atom
# formation energy (no corrections)	0.1791	eV/atom
# calculated density	6.573	g/cm³
# D(E_F)	1.27	states/eV/cell
data_CuSiTe
_symmetry_space_group_name_H-M 'P 3 m 1'
_symmetry_Int_Tables_number 156
_cell_length_a 3.7581
_cell_length_b 3.7581
_cell_length_c 4.5282
_cell_angle_alpha 90.00
_cell_angle_beta 90.00
_cell_angle_gamma 120.00
loop_
_symmetry_equiv_pos_as_xyz
'x,y,z'
'-y,x-y,z'
'-x+y,-x,z'
'-y,-x,z'
'-x+y,y,z'
'x,x-y,z'
loop_
_atom_site_label
_atom_site_fract_x
_atom_site_fract_y
_atom_site_fract_z
Cu1 0.0000 0.0000 0.0000
Si1 0.3333 0.6667 0.7565
Te1 0.6667 0.3333 0.3480